Record 1
The following is a PBE-GGA calculation of Sc3Co9OsC2 after structural relaxation, from Alexandria via LeMat-Bulk.

Structure (POSCAR):
```
Sc3Co9OsC2
1.0
5.251 0.000 0.000
-2.625 4.547 0.000
0.000 0.000 7.974
Sc Co Os C
3 9 1 2
direct
0.333 0.667 0.613 Sc
0.000 0.000 0.000 Sc
0.667 0.333 0.387 Sc
0.500 0.500 0.000 Co
0.831 0.169 0.723 Co
0.169 0.338 0.277 Co
0.000 0.500 0.000 Co
0.662 0.831 0.277 Co
0.169 0.831 0.277 Co
0.500 0.000 0.000 Co
0.338 0.169 0.723 Co
0.831 0.662 0.723 Co
0.000 0.000 0.500 Os
0.667 0.333 0.864 C
0.333 0.667 0.136 C
```

## Properties
Space group: P-3m1
Size of the total moment (μB per atom): 0.081
Total energy (eV per atom): -7.61

***

Record 2
The following is a PBE-GGA calculation of ScCoOs2C after structural relaxation, from Alexandria via LeMat-Bulk.

Structure (POSCAR):
```
ScCoOs2C
1.0
-2.600 3.160 -0.273
-2.932 -2.529 -1.349
-1.135 -0.620 3.630
Co Os C Sc
1 2 1 1
direct
0.000 0.000 0.500 Co
0.000 0.500 0.000 Os
0.500 0.000 0.000 Os
0.000 0.000 0.000 C
0.500 0.500 0.500 Sc
```

## Properties
Space group: P4/mmm
Size of the total moment (μB per atom): 0.000
Total energy (eV per atom): -9.15

***

Record 3
The following is a PBE-GGA calculation of Co2SnOsC after structural relaxation, from Alexandria via LeMat-Bulk.

Structure (POSCAR):
```
Co2SnOsC
1.0
-3.699 -1.316 2.625
1.696 -3.540 0.615
2.135 1.693 3.857
Co Sn C Os
2 1 1 1
direct
0.000 0.000 0.500 Co
0.500 0.000 0.000 Co
0.000 0.000 0.000 Sn
0.000 0.500 0.000 C
0.500 0.500 0.500 Os
```

## Properties
Space group: P4/mmm
Size of the total moment (μB per atom): 1.172
Total energy (eV per atom): -5.16

***

Record 4
The following is a PBE-GGA calculation of Tl2CoOsC after structural relaxation, from Alexandria via LeMat-Bulk.

Structure (POSCAR):
```
Tl2CoOsC
1.0
4.943 0.000 0.000
0.000 3.871 0.000
0.000 0.000 4.943
Tl Os C Co
2 1 1 1
direct
0.500 0.000 0.000 Tl
0.000 0.000 0.500 Tl
0.000 0.500 0.000 Os
0.000 0.000 0.000 C
0.500 0.500 0.500 Co
```

## Properties
Space group: P4/mmm
Size of the total moment (μB per atom): 0.303
Total energy (eV per atom): -5.13

***

Record 5
The following is a PBE-GGA calculation of YCo2OsC after structural relaxation, from Alexandria via LeMat-Bulk.

Structure (POSCAR):
```
YCo2OsC
1.0
4.020 0.000 0.000
0.000 4.020 0.000
0.000 0.000 4.069
Os Co C Y
1 2 1 1
direct
0.000 0.000 0.500 Os
0.500 0.000 0.000 Co
0.000 0.500 0.000 Co
0.000 0.000 0.000 C
0.500 0.500 0.500 Y
```

## Properties
Space group: P4/mmm
Size of the total moment (μB per atom): 0.215
Total energy (eV per atom): -8.28

***

Record 6
The following is a PBE-GGA calculation of ZnCo2OsC after structural relaxation, from Alexandria via LeMat-Bulk.

Structure (POSCAR):
```
ZnCo2OsC
1.0
3.810 0.000 0.000
0.000 3.810 0.000
0.000 0.000 3.981
Zn C Co Os
1 1 2 1
direct
0.500 0.500 0.500 Zn
0.000 0.000 0.000 C
0.500 0.000 0.000 Co
0.000 0.500 0.000 Co
0.000 0.000 0.500 Os
```

## Properties
Space group: P4/mmm
Size of the total moment (μB per atom): 0.390
Total energy (eV per atom): -7.04

***

Record 7
The following is a PBE-GGA calculation of ZrCo2OsC after structural relaxation, from Alexandria via LeMat-Bulk.

Structure (POSCAR):
```
ZrCo2OsC
1.0
3.928 0.000 0.000
0.000 3.928 0.000
0.000 0.000 4.033
Os Co Zr C
1 2 1 1
direct
0.000 0.000 0.500 Os
0.500 0.000 0.000 Co
0.000 0.500 0.000 Co
0.500 0.500 0.500 Zr
0.000 0.000 0.000 C
```

## Properties
Space group: P4/mmm
Size of the total moment (μB per atom): 0.000
Total energy (eV per atom): -8.80

***

Record 8
The following is a PBE-GGA calculation of Co3PC after structural relaxation, from Alexandria via LeMat-Bulk.

Structure (POSCAR):
```
Co3PC
1.0
-1.348 0.829 -3.398
2.523 -2.291 -1.560
-2.422 -2.848 0.266
C Co P
1 3 1
direct
0.000 0.000 0.000 C
0.000 0.000 0.500 Co
0.500 0.000 0.000 Co
0.000 0.500 0.000 Co
0.500 0.500 0.500 P
```

## Properties
Space group: Pm-3m
Size of the total moment (μB per atom): 0.581
E above lowest polymorph (meV/atom): 0
Total energy (eV per atom): -6.99